No. 1
Ta2Al13 | PBE | relaxed

```
Ta2Al13
1.0
-4.064 -2.106 8.705
8.680 -3.283 3.258
1.135 4.642 1.653
Al Ta
26 4
Direct
0.677 0.677 0.749
0.069 0.262 0.500
0.823 0.177 0.751
0.323 0.323 0.749
0.931 0.738 0.500
0.465 0.872 0.500
0.569 0.238 0.000
0.372 0.035 0.000
0.431 0.762 0.000
0.238 0.569 0.000
0.677 0.677 0.251
0.500 0.500 0.000
0.262 0.069 0.500
0.323 0.323 0.251
0.177 0.823 0.751
0.035 0.372 0.000
0.128 0.535 0.500
0.177 0.823 0.249
0.000 0.000 0.500
0.965 0.628 0.000
0.823 0.177 0.249
0.872 0.465 0.500
0.738 0.931 0.500
0.762 0.431 0.000
0.628 0.965 0.000
0.535 0.128 0.500
0.896 0.896 0.000
0.396 0.604 0.500
0.604 0.396 0.500
0.104 0.104 0.000
```

- calculated total energy (eV per atom) = -4.85
- calculated volume (A^3/atom) = 16.30

No. 2
Ta3Al | PBE | relaxed

```
Ta3Al
1.0
-3.817 0.644 3.622
-4.551 2.058 -1.777
3.227 -3.940 -1.471
Ta Al
3 1
Direct
0.750 0.250 0.500
0.250 0.750 0.500
0.500 0.500 0.000
0.000 0.000 0.000
```

- calculated total energy (eV per atom) = -9.85
- calculated volume (A^3/atom) = 17.79

No. 3
TaAl | PBE | relaxed

```
TaAl
1.0
-1.844 1.992 1.108
-0.103 -0.666 -2.854
-3.080 -3.346 0.892
Ta Al
1 1
Direct
0.333 0.667 0.250
0.667 0.333 0.750
```

- calculated total energy (eV per atom) = -7.99
- calculated volume (A^3/atom) = 17.25

No. 4
Ta10Al3 | PBE | relaxed

```
Ta10Al3
1.0
2.667 1.540 9.607
-2.667 1.540 9.607
0.000 -3.080 9.607
Ta Al
10 3
Direct
0.908 0.908 0.412
0.649 0.649 0.649
0.834 0.834 0.834
0.092 0.588 0.092
0.166 0.166 0.166
0.588 0.092 0.092
0.412 0.908 0.908
0.092 0.092 0.588
0.908 0.412 0.908
0.351 0.351 0.351
0.547 0.547 0.547
0.000 0.000 0.000
0.453 0.453 0.453
```

- calculated total energy (eV per atom) = -9.90
- calculated volume (A^3/atom) = 18.21

No. 5
TaAl | PBE | relaxed

```
TaAl
1.0
5.449 0.000 0.000
-2.724 4.719 0.000
0.000 0.000 8.641
Al Ta
6 6
Direct
0.000 0.000 0.000
0.333 0.667 0.431
0.667 0.333 0.569
0.000 0.000 0.500
0.667 0.333 0.931
0.333 0.667 0.069
0.169 0.831 0.750
0.831 0.663 0.250
0.169 0.337 0.750
0.337 0.169 0.250
0.663 0.831 0.750
0.831 0.169 0.250
```

- calculated total energy (eV per atom) = -7.58
- calculated volume (A^3/atom) = 18.51

No. 6
Ta3Al | PBE | relaxed

```
Ta3Al
1.0
1.917 -4.019 1.294
-1.906 -2.482 3.422
-2.139 -4.002 -0.953
Ta Al
3 1
Direct
0.500 0.500 0.500
0.250 0.250 0.250
0.000 0.000 0.000
0.750 0.750 0.750
```

- calculated total energy (eV per atom) = -9.85
- calculated volume (A^3/atom) = 17.62

No. 7
TaAl2 | PBE | relaxed

```
TaAl2
1.0
-6.565 -2.203 7.143
7.311 -3.876 5.523
0.814 4.641 2.180
Al Ta
20 10
Direct
0.873 0.547 0.000
0.373 0.953 0.500
0.047 0.627 0.500
0.827 0.827 0.249
0.327 0.673 0.749
0.627 0.047 0.500
0.398 0.398 0.000
0.453 0.127 0.000
0.127 0.453 0.000
0.173 0.173 0.249
0.327 0.673 0.251
0.673 0.327 0.749
0.547 0.873 0.000
0.102 0.898 0.500
0.602 0.602 0.000
0.827 0.827 0.751
0.953 0.373 0.500
0.673 0.327 0.251
0.173 0.173 0.751
0.898 0.102 0.500
0.769 0.580 0.500
0.269 0.920 0.000
0.000 0.000 0.000
0.731 0.080 0.000
0.420 0.231 0.500
0.500 0.500 0.500
0.231 0.420 0.500
0.080 0.731 0.000
0.920 0.269 0.000
0.580 0.769 0.500
```

- calculated total energy (eV per atom) = -6.53
- calculated volume (A^3/atom) = 17.13

No. 8
Ta2Al | PBE | relaxed

```
Ta2Al
1.0
-1.051 7.076 -7.093
-6.308 -6.008 -5.059
-4.050 2.037 2.632
Ta Al
20 10
Direct
0.401 0.401 0.000
0.364 0.970 0.500
0.739 0.060 0.000
0.901 0.099 0.500
0.470 0.136 0.000
0.261 0.940 0.000
0.030 0.636 0.500
0.970 0.364 0.500
0.239 0.440 0.500
0.599 0.599 0.000
0.940 0.261 0.000
0.099 0.901 0.500
0.864 0.530 0.000
0.761 0.560 0.500
0.560 0.761 0.500
0.636 0.030 0.500
0.440 0.239 0.500
0.060 0.739 0.000
0.530 0.864 0.000
0.136 0.470 0.000
0.311 0.689 0.752
0.811 0.811 0.748
0.689 0.311 0.248
0.189 0.189 0.748
0.311 0.689 0.248
0.000 0.000 0.000
0.689 0.311 0.752
0.189 0.189 0.252
0.811 0.811 0.252
0.500 0.500 0.500
```

- calculated total energy (eV per atom) = -9.18
- calculated volume (A^3/atom) = 17.73

No. 9
TaAl2 | PBE | relaxed

```
TaAl2
1.0
-1.207 -9.399 1.547
2.093 -1.783 -9.200
5.337 -0.470 1.305
Al Ta
20 10
Direct
0.594 0.594 0.000
0.962 0.361 0.500
0.066 0.728 0.000
0.434 0.228 0.500
0.906 0.094 0.500
0.272 0.934 0.000
0.139 0.462 0.000
0.566 0.772 0.500
0.934 0.272 0.000
0.406 0.406 0.000
0.038 0.639 0.500
0.462 0.139 0.000
0.538 0.861 0.000
0.639 0.038 0.500
0.861 0.538 0.000
0.772 0.566 0.500
0.361 0.962 0.500
0.094 0.906 0.500
0.228 0.434 0.500
0.728 0.066 0.000
0.681 0.319 0.251
0.819 0.819 0.249
0.000 0.000 0.000
0.181 0.181 0.249
0.681 0.319 0.749
0.319 0.681 0.749
0.819 0.819 0.751
0.319 0.681 0.251
0.181 0.181 0.751
0.500 0.500 0.500
```

- calculated total energy (eV per atom) = -6.54
- calculated volume (A^3/atom) = 16.95

No. 10
TaAl | PBE | relaxed

```
TaAl
1.0
-2.725 1.492 0.858
-1.656 -2.712 -0.542
0.471 -0.898 3.059
Ta Al
1 1
Direct
0.500 0.500 0.500
0.000 0.000 0.000
```

- calculated total energy (eV per atom) = -7.72
- calculated volume (A^3/atom) = 16.74

No. 11
TaAl14 | PBE | relaxed

```
TaAl14
1.0
-2.561 -8.041 -4.968
6.763 2.037 -6.783
3.552 -2.800 2.701
Al Ta
28 2
Direct
0.404 0.404 0.000
0.955 0.370 0.500
0.455 0.130 0.000
0.630 0.045 0.500
0.596 0.596 0.000
0.175 0.175 0.250
0.904 0.096 0.500
0.269 0.925 0.000
0.325 0.675 0.250
0.425 0.231 0.500
0.075 0.731 0.000
0.045 0.630 0.500
0.575 0.769 0.500
0.231 0.425 0.500
0.130 0.455 0.000
0.175 0.175 0.750
0.825 0.825 0.250
0.370 0.955 0.500
0.870 0.545 0.000
0.825 0.825 0.750
0.096 0.904 0.500
0.675 0.325 0.250
0.925 0.269 0.000
0.325 0.675 0.750
0.545 0.870 0.000
0.675 0.325 0.750
0.769 0.575 0.500
0.731 0.075 0.000
0.000 0.000 0.000
0.500 0.500 0.500
```

- calculated total energy (eV per atom) = -4.28
- calculated volume (A^3/atom) = 16.84

No. 12
Ta5Al7 | PBE | relaxed

```
Ta5Al7
1.0
-4.478 -0.324 -2.922
4.468 -2.442 -1.665
-4.757 -14.789 8.929
Al Ta
14 10
Direct
0.000 0.000 0.894
0.333 0.667 0.663
0.500 0.500 0.000
0.000 0.000 0.394
0.000 0.500 0.000
0.500 0.000 0.500
0.333 0.667 0.837
0.000 0.000 0.106
0.000 0.000 0.606
0.500 0.000 0.000
0.000 0.500 0.500
0.667 0.333 0.337
0.500 0.500 0.500
0.667 0.333 0.163
0.833 0.167 0.750
0.167 0.833 0.250
0.667 0.333 0.620
0.667 0.333 0.880
0.333 0.667 0.380
0.167 0.334 0.250
0.333 0.667 0.120
0.334 0.167 0.750
0.666 0.833 0.250
0.833 0.666 0.750
```

- calculated total energy (eV per atom) = -6.98
- calculated volume (A^3/atom) = 18.56

No. 13
Ta5Al7 | PBE | relaxed

```
Ta5Al7
1.0
5.291 0.000 0.000
-2.646 4.582 0.000
0.000 0.000 17.117
Al Ta
14 10
Direct
0.333 0.667 0.130
0.000 0.000 0.588
0.667 0.333 0.630
0.677 0.839 0.250
0.000 0.000 0.912
0.000 0.000 0.088
0.323 0.161 0.750
0.161 0.323 0.250
0.839 0.677 0.750
0.838 0.161 0.750
0.667 0.333 0.870
0.000 0.000 0.412
0.333 0.667 0.370
0.161 0.839 0.250
0.000 0.500 0.500
0.500 0.500 0.500
0.333 0.667 0.663
0.333 0.667 0.837
0.667 0.333 0.337
0.000 0.500 0.000
0.500 0.000 0.500
0.500 0.500 0.000
0.500 0.000 0.000
0.667 0.333 0.163
```

- calculated total energy (eV per atom) = -7.05
- calculated volume (A^3/atom) = 17.29

No. 14
Ta17Al12 | PBE | relaxed

```
Ta17Al12
1.0
-5.058 5.058 5.058
5.058 -5.058 5.058
5.058 5.058 -5.058
Al Ta
12 17
Direct
0.313 0.724 0.313
0.687 0.411 0.000
0.000 0.687 0.411
0.276 0.589 0.589
0.724 0.313 0.313
0.589 0.589 0.276
0.411 0.000 0.687
0.000 0.411 0.687
0.313 0.313 0.724
0.589 0.276 0.589
0.411 0.687 0.000
0.687 0.000 0.411
0.645 0.000 0.000
0.187 0.811 0.811
0.813 0.625 0.625
0.189 0.375 0.000
0.811 0.187 0.811
0.375 0.189 0.000
0.000 0.000 0.000
0.000 0.375 0.189
0.355 0.355 0.355
0.000 0.000 0.645
0.000 0.189 0.375
0.189 0.000 0.375
0.811 0.811 0.187
0.625 0.625 0.813
0.000 0.645 0.000
0.625 0.813 0.625
0.375 0.000 0.189
```

- calculated total energy (eV per atom) = -8.50
- calculated volume (A^3/atom) = 17.85

No. 15
Ta3Al | PBE | relaxed

```
Ta3Al
1.0
5.348 0.000 0.000
-2.674 4.632 0.000
0.000 0.000 17.463
Ta Al
18 6
Direct
0.667 0.333 0.627
0.000 0.000 0.904
0.000 0.000 0.596
0.000 0.000 0.096
0.000 0.500 0.000
0.500 0.000 0.500
0.333 0.667 0.373
0.000 0.000 0.404
0.000 0.500 0.500
0.333 0.667 0.846
0.667 0.333 0.346
0.667 0.333 0.873
0.500 0.500 0.000
0.500 0.000 0.000
0.333 0.667 0.654
0.667 0.333 0.154
0.500 0.500 0.500
0.333 0.667 0.127
0.320 0.160 0.750
0.840 0.680 0.750
0.160 0.320 0.250
0.840 0.160 0.750
0.160 0.840 0.250
0.680 0.840 0.250
```

- calculated total energy (eV per atom) = -9.83
- calculated volume (A^3/atom) = 18.02